No. 1
Li3Sm3TaS8, optimized geometry, DFT PBE; volume = 21.84 Å³ per atom; formation energy from raw total energies = -1604 meV per atom
1.0
7.8125 0.0000 0.0000
-3.9062 6.7652 -0.0243
0.0000 -4.4902 6.2145
Li Sm Ta S
3 3 1 8
Cartesian
0.0000 0.0000 0.0000 Li
-1.9531 3.3826 -0.0121 Li
1.9531 3.3826 -0.0121 Li
3.9062 -2.2451 3.1072 Sm
1.9531 1.1375 3.0951 Sm
-1.9531 1.1375 3.0951 Sm
0.0000 -2.2451 3.1072 Ta
0.0000 2.2593 1.4700 S
3.9062 0.0157 4.7202 S
3.9062 2.4846 1.6062 S
0.0000 -0.2096 4.5840 S
2.1479 5.5299 1.5954 S
1.7583 -3.2549 4.5948 S
-2.1479 5.5299 1.5954 S
6.0542 -3.2549 4.5948 S


No. 2
Li2MgBiO4, optimized geometry, DFT PBE; volume = 11.44 Å³ per atom; formation energy from raw total energies = -1713 meV per atom
1.0
-5.9601 0.8655 -1.9490
-2.2558 -0.1154 5.9134
4.4962 4.1692 -1.5981
Li Mg Bi O
4 2 2 8
Cartesian
-2.9801 0.4328 -0.9745 Li
-0.7320 2.5174 -1.7736 Li
2.2481 2.0846 -0.7990 Li
-4.1080 0.3751 1.9822 Li
-1.1279 -0.0577 2.9567 Mg
-4.8399 2.8924 0.2086 Mg
-1.8599 2.4597 1.1831 Bi
-1.4639 5.0347 -3.5471 Bi
1.3975 4.1788 2.2711 O
-2.8877 2.8300 -0.7433 O
-0.8320 2.0893 3.1095 O
-5.1173 0.7405 0.0952 O
-6.1710 0.5674 2.9485 O
-3.9273 2.6483 2.1511 O
0.2076 2.2710 0.2152 O
2.4513 4.3519 -0.5823 O


No. 3
Ba4MgTl8O16, optimized geometry, DFT PBE; volume = 16.81 Å³ per atom; formation energy from raw total energies = -1276 meV per atom
1.0
-1.7575 3.0229 0.6642
-3.3143 0.3837 -10.5160
-10.3945 -6.5110 2.1278
Ba Mg Tl O
4 1 8 16
Cartesian
-10.3102 -2.5857 -5.9772 Ba
-3.7637 -0.5533 -7.4406 Ba
-10.7733 -4.0296 -0.6311 Ba
-4.3080 -2.1395 -1.6621 Ba
-9.8767 -1.7246 -8.7490 Mg
-7.4766 -0.4666 -8.1236 Tl
-13.1887 -3.9057 -7.5864 Tl
-5.7389 -2.2377 -5.0011 Tl
-11.2183 -5.6209 -4.1028 Tl
-3.3934 0.9409 -3.7253 Tl
-8.6561 -2.2668 -3.0517 Tl
-1.2709 -0.6340 -0.4775 Tl
-7.0858 -4.0917 -0.1275 Tl
-5.9661 -1.3318 -9.7254 O
-4.5464 1.4517 -9.1004 O
-9.0022 -3.4148 -8.2788 O
-11.3757 -5.1767 -6.5410 O
-6.2132 -0.1792 -6.0887 O
-3.0615 1.6272 -5.9703 O
-7.7807 -3.4430 -4.9182 O
-10.7743 -3.3950 -3.5220 O
-3.7650 -1.2642 -4.2085 O
-6.7232 -1.1263 -3.1276 O
-11.4848 -6.2578 -1.9094 O
-8.2302 -4.3565 -1.9507 O
-3.1889 0.5571 -1.4374 O
-6.6055 -1.7137 -0.1432 O
-9.8782 -5.9799 1.0771 O
-8.5107 -3.1623 1.4083 O


No. 4
PuCuSeO5, optimized geometry, DFT PBE; volume = 14.65 Å³ per atom; formation energy from raw total energies = -1435 meV per atom
1.0
-4.7300 1.0134 -4.0616
1.0270 -5.0305 3.6790
-1.7026 5.7128 5.7269
Pu Cu Se O
2 2 2 10
Cartesian
-0.8513 2.8564 2.8634 Pu
0.0000 0.0000 0.0000 Pu
-0.8281 -2.1017 3.1888 Cu
-4.5776 3.7973 2.1555 Cu
-3.4404 0.6408 -0.3235 Se
-1.9653 1.0549 5.6679 Se
0.1437 -3.1219 4.4955 O
-5.5494 4.8176 0.8489 O
-0.2861 -0.9482 1.6183 O
-5.1195 2.6438 3.7260 O
-2.7924 -1.7620 2.8469 O
-2.6132 3.4576 2.4974 O
-3.6913 0.6819 1.3654 O
-1.7144 1.0138 3.9789 O
-2.1783 -0.4619 -0.6529 O
-3.2274 2.1575 5.9972 O


Among the records above, which one has the highest volume? Li3Sm3TaS8


Number 1 is which compound? Li3Sm3TaS8


formation energy from raw total energies of number 3 (Ba4MgTl8O16)? -1276 meV per atom